{
  "formula": "Ca3Pr3ScTe8",
  "functional": "PBE",
  "state": "relaxed",
  "density_g_cm3": 5.22,
  "e_form_raw_mev_per_atom": -1483.2,
  "sg": "R-3m, No. 166",
  "lattice": [[4.459, 2.575, 7.432], [-4.459, 2.575, 7.432], [0.000, -5.149, 7.432]],
  "species": ["Ca", "Ca", "Ca", "Pr", "Pr", "Pr", "Sc", "Te", "Te", "Te", "Te", "Te", "Te", "Te", "Te"],
  "frac_coords": [[0.000, 0.500, 0.500], [0.500, 0.000, 0.500], [0.500, 0.500, 0.000], [0.000, 0.000, 0.500], [0.000, 0.500, 0.000], [0.500, 0.000, 0.000], [0.500, 0.500, 0.500], [0.252, 0.252, 0.252], [0.262, 0.262, 0.735], [0.262, 0.735, 0.262], [0.265, 0.738, 0.738], [0.735, 0.262, 0.262], [0.738, 0.265, 0.738], [0.738, 0.738, 0.265], [0.748, 0.748, 0.748]]
}